No. 1
Zr2SnHg | PBE-GGA | relaxed

```
Zr2SnHg
1.0
-0.2674 0.3119 -3.7417
-0.3521 -3.7367 -0.2863
-6.2288 0.5493 0.4909
Hg Sn Zr
1 1 2
direct
0.5000 0.5000 0.5000
0.5000 0.5000 0.0000
0.0000 0.0000 0.2432
0.0000 0.0000 0.7568
```

## Properties
SG = P4/mmm
energy relative to the elements = -0.2799 eV per atom

No. 2
Zr2SnHg2 | PBE-GGA | relaxed

```
Zr2SnHg2
1.0
-2.0266 5.9778 4.1581
2.8449 -3.3231 6.1639
3.7517 1.8009 -0.7606
Hg Sn Zr
4 2 4
direct
0.6527 0.8473 0.5000
0.1527 0.6527 0.5000
0.8473 0.3473 0.5000
0.3473 0.1527 0.5000
0.0000 0.0000 0.0000
0.5000 0.5000 0.0000
0.3540 0.8540 0.0000
0.6460 0.1460 0.0000
0.1460 0.3540 0.0000
0.8540 0.6460 0.0000
```

## Properties
SG = P4/mbm
relative energy among the computed polymorphs = 0.000 eV/atom
energy relative to the elements = -0.0560 eV per atom

No. 3
ZrSn3Hg | PBE-GGA | relaxed

```
ZrSn3Hg
1.0
5.5956 0.0000 0.0000
0.0000 5.5956 0.0000
0.0000 0.0000 5.5956
Sn Zr Hg
3 1 1
direct
0.0000 0.0000 0.5000
0.5000 0.0000 0.0000
0.0000 0.5000 0.0000
0.0000 0.0000 0.0000
0.5000 0.5000 0.5000
```

## Properties
SG = Pm-3m
relative energy among the computed polymorphs = 0.000 eV/atom
energy relative to the elements = 0.2570 eV per atom

No. 4
Zr2SnHg | PBE-GGA | relaxed

```
Zr2SnHg
1.0
7.8983 0.0000 0.0000
0.0000 7.8983 0.0000
3.9491 3.9491 3.0688
Sn Zr Hg
2 4 2
direct
0.5000 0.5000 0.0000
0.2500 0.7500 0.5000
0.3750 0.3726 0.7500
0.8750 0.8774 0.7500
0.1226 0.6250 0.2500
0.6274 0.1250 0.2500
0.0000 0.0000 0.0000
0.7500 0.2500 0.5000
```

## Properties
SG = I-42d
energy relative to the elements = -0.0508 eV per atom

No. 5
Zr7Sn2Hg2 | PBE-GGA | relaxed

```
Zr7Sn2Hg2
1.0
-3.0433 2.9397 4.2978
-0.4437 -7.1121 4.5442
6.0183 -0.1455 0.3658
Zr Sn Hg
7 2 2
direct
0.0000 0.0000 0.0000
0.4998 0.3022 0.9999
0.5002 0.6978 0.0001
0.5000 0.7663 0.5000
0.5000 0.2337 0.5000
0.9999 0.6978 0.4998
0.0001 0.3022 0.5002
0.7071 0.0000 0.2929
0.2929 0.0000 0.7071
0.7817 0.5000 0.7817
0.2183 0.5000 0.2183
```

## Properties
SG = Cmmm
energy relative to the elements = 0.1419 eV per atom

No. 6
ZrSnHg | PBE-GGA | relaxed

```
ZrSnHg
1.0
4.2790 0.0000 0.0000
0.0000 4.2790 0.0000
-2.1395 -2.1395 7.5925
Hg Zr Sn
2 2 2
direct
0.0000 0.5000 0.0000
0.5000 0.0000 0.0000
0.8470 0.8470 0.6941
0.1530 0.1530 0.3059
0.6568 0.6568 0.3137
0.3432 0.3432 0.6863
```

## Properties
SG = I4/mmm
relative energy among the computed polymorphs = 0.000 eV/atom
energy relative to the elements = -0.1784 eV per atom